# 1
# Ta2ReNi

A relaxed Ta2ReNi crystal (PBE, Alexandria).

The structure in extended XYZ format:
```
8
Lattice="3.303 0.000 0.000 0.000 4.454 0.000 0.000 0.000 8.449" Properties=species:S:1:pos:R:3 pbc="T T T"
Ta 0.000 0.000 2.000
Ta 0.000 0.000 6.449
Ta 1.652 2.227 2.000
Ta 1.652 2.227 6.449
Re 0.000 2.227 4.224
Re 1.652 0.000 4.224
Ni 0.000 2.227 0.000
Ni 1.652 0.000 0.000
```

Values from the calculation:
Formation energy from the elements, meV per atom: -137.5
Magnetization, μB per cell: 0.000
Uncorrected energy, Ha/atom: -0.3903

=====

# 2
# TaRe2Ni

A relaxed TaRe2Ni crystal (PBE, Alexandria).

The structure in extended XYZ format:
```
12
Lattice="2.781 0.000 0.000 -1.390 2.408 0.000 0.000 0.000 26.947" Properties=species:S:1:pos:R:3 pbc="T T T"
Ta 0.000 0.000 0.000
Ta 0.000 1.606 17.965
Ta 1.390 0.803 8.982
Re 0.000 0.000 6.498
Re 0.000 0.000 13.334
Re 0.000 1.606 4.351
Re 0.000 1.606 24.463
Re 1.390 0.803 15.480
Re 1.390 0.803 22.316
Ni 0.000 0.000 20.148
Ni 0.000 1.606 11.166
Ni 1.390 0.803 2.183
```

Values from the calculation:
Formation energy from the elements, meV per atom: 115.7
Magnetization, μB per cell: 0.000
Uncorrected energy, Ha/atom: -0.3865

=====

# 3
# Ta2ReNi

A relaxed Ta2ReNi crystal (PBE, Alexandria).

The structure in extended XYZ format:
```
4
Lattice="4.443 0.000 0.000 0.000 4.443 0.000 0.000 0.000 3.185" Properties=species:S:1:pos:R:3 pbc="T T T"
Ta 0.000 2.221 0.000
Ta 2.221 0.000 0.000
Re 0.000 0.000 1.592
Ni 2.221 2.221 1.592
```

Values from the calculation:
Formation energy from the elements, meV per atom: -221.1
Magnetization, μB per cell: 0.001
Uncorrected energy, Ha/atom: -0.3934

=====

# 4
# TaRe2Ni

A relaxed TaRe2Ni crystal (PBE, Alexandria).

The structure in extended XYZ format:
```
8
Lattice="3.212 0.000 0.000 0.000 4.304 0.000 0.000 0.000 8.690" Properties=species:S:1:pos:R:3 pbc="T T T"
Ta 0.000 0.000 0.000
Ta 1.606 2.152 4.345
Re 0.000 2.152 2.197
Re 0.000 2.152 6.493
Re 1.606 0.000 2.148
Re 1.606 0.000 6.542
Ni 0.000 0.000 4.345
Ni 1.606 2.152 0.000
```

Values from the calculation:
Formation energy from the elements, meV per atom: 55.0
Magnetization, μB per cell: 0.000
Uncorrected energy, Ha/atom: -0.3887